Record 1
This record from Alexandria describes crystalline LiAgIr at its relaxed geometry. The functional is GGA-PBE.

Output
Calculated volume: 86.06 Å³/cell
Relative energy among the computed polymorphs: 121 kJ/mol of formula units
D(E_F): 2.96 states/eV/f.u.
Calculated formation energy: 0.43 eV/atom

a b c (Å): 2.8626 2.8626 10.5023
angles (deg): 90.00 90.00 90.00
Space group P4/nmm (No. 129, origin choice 2)
Asymmetric unit:
Li: 0.2500 0.7500 0.0000
Ag: 0.2500 0.2500 0.3978
Ir: 0.2500 0.2500 0.7978



Record 2
This record from Alexandria describes crystalline LiAg2Ir at its relaxed geometry. The functional is GGA-PBE.

Output
Calculated volume: 128.36 Å³/cell
D(E_F): 3.06 states/eV/f.u.
Calculated formation energy: 0.15 eV/atom

a b c (Å): 9.5320 2.6884 5.0458
angles (deg): 90.00 96.94 90.00
Space group C2/m (No. 12)
Asymmetric unit:
Li: 0.0000 0.0000 0.0000
Ag: 0.2442 0.0000 0.7498
Ir: 0.0000 0.5000 0.5000